[1]
DFT (PBE) results for a relaxed Y3AlPd crystal.

Computed properties:
Formation energy: -86 meV per atom

abc: 5.3608 5.3608 5.3608
angles: 90.00 90.00 90.00
Element x y z (fractional)
Y1 0.0000 0.0000 0.5000
Y2 0.0000 0.5000 0.0000
Y3 0.5000 0.0000 0.0000
Al1 0.5000 0.5000 0.5000
Pd1 0.0000 0.0000 0.0000

=====

[2]
DFT (PBE) results for a relaxed BaCr2S crystal.

Computed properties:
E_form (uncorrected): 197 meV per atom

abc: 4.7701 4.7701 16.4785
angles: 90.00 90.00 90.00
Element x y z (fractional)
Ba1 0.0000 0.2500 0.3750
Ba2 0.0000 0.7500 0.6250
Ba3 0.5000 0.2500 0.1250
Ba4 0.5000 0.7500 0.8750
Cr1 0.0000 0.0000 0.0000
Cr2 0.0000 0.5000 0.0000
Cr3 0.2500 0.2500 0.7500
Cr4 0.2500 0.7500 0.2500
Cr5 0.5000 0.0000 0.5000
Cr6 0.5000 0.5000 0.5000
Cr7 0.7500 0.2500 0.7500
Cr8 0.7500 0.7500 0.2500
S1 0.0000 0.2500 0.8750
S2 0.0000 0.7500 0.1250
S3 0.5000 0.2500 0.6250
S4 0.5000 0.7500 0.3750

=====

[3]
DFT (PBE) results for a relaxed Pr5MgAg3 crystal.

Computed properties:
Formation energy: -83 meV per atom

abc: 9.2689 9.2689 6.9948
angles: 90.00 90.00 60.07
Element x y z (fractional)
Pr1 0.1664 0.1664 0.0000
Pr2 0.1664 0.1664 0.5000
Pr3 0.1892 0.4998 0.2500
Pr4 0.1897 0.8103 0.7500
Pr5 0.4998 0.1892 0.7500
Pr6 0.5002 0.8108 0.2500
Pr7 0.8103 0.1897 0.2500
Pr8 0.8108 0.5002 0.7500
Pr9 0.8336 0.8336 0.0000
Pr10 0.8336 0.8336 0.5000
Mg1 0.5000 0.5000 0.0000
Mg2 0.5000 0.5000 0.5000
Ag1 0.1484 0.4998 0.7500
Ag2 0.1482 0.8518 0.2500
Ag3 0.4998 0.1484 0.2500
Ag4 0.5002 0.8516 0.7500
Ag5 0.8518 0.1482 0.7500
Ag6 0.8516 0.5002 0.2500

=====

[4]
DFT (PBE) results for a relaxed MnBe3Pd crystal.

Computed properties:
Formation energy: 542 meV per atom

abc: 4.1666 4.1666 4.1666
angles: 90.00 90.00 90.00
Element x y z (fractional)
Mn1 0.0000 0.0000 0.0000
Be1 0.0000 0.5000 0.5000
Be2 0.5000 0.0000 0.5000
Be3 0.5000 0.5000 0.0000
Pd1 0.5000 0.5000 0.5000

=====

[5]
DFT (PBE) results for a relaxed Ba2AlAu crystal.

Computed properties:
Formation energy: -48 meV per atom

abc: 9.0234 9.0234 7.8336
angles: 90.00 90.00 90.00
Element x y z (fractional)
Ba1 0.2238 0.2500 0.1250
Ba2 0.2500 0.7238 0.3750
Ba3 0.2500 0.7762 0.8750
Ba4 0.2762 0.2500 0.6250
Ba5 0.7238 0.7500 0.6250
Ba6 0.7500 0.2238 0.8750
Ba7 0.7500 0.2762 0.3750
Ba8 0.7762 0.7500 0.1250
Al1 0.0000 0.0000 0.5000
Al2 0.0000 0.5000 0.7500
Al3 0.5000 0.0000 0.2500
Al4 0.5000 0.5000 0.0000
Au1 0.0000 0.0000 0.0000
Au2 0.0000 0.5000 0.2500
Au3 0.5000 0.0000 0.7500
Au4 0.5000 0.5000 0.5000

=====

[6]
DFT (PBE) results for a relaxed Na3TaC crystal.

Computed properties:
Formation energy: 1839 meV per atom

abc: 4.9289 4.9289 4.9289
angles: 90.00 90.00 90.00
Element x y z (fractional)
Na1 0.0000 0.0000 0.5000
Na2 0.0000 0.5000 0.0000
Na3 0.5000 0.0000 0.0000
Ta1 0.5000 0.5000 0.5000
C1 0.0000 0.0000 0.0000

=====

[7]
DFT (PBE) results for a relaxed TbPr3Tm crystal.

Computed properties:
Formation energy: 30 meV per atom

abc: 6.3782 5.8412 9.7676
angles: 90.00 108.92 90.00
Element x y z (fractional)
Tb1 0.0688 0.2500 0.3079
Tb2 0.9312 0.7500 0.6921
Pr1 0.1319 0.7500 0.1028
Pr2 0.2658 0.2500 0.6946
Pr3 0.4673 0.2500 0.1047
Pr4 0.5327 0.7500 0.8953
Pr5 0.7342 0.7500 0.3054
Pr6 0.8681 0.2500 0.8972
Tm1 0.3356 0.7500 0.4989
Tm2 0.6644 0.2500 0.5011

=====

[8]
DFT (PBE) results for a relaxed Rb2BeCoHg crystal.

Computed properties:
Formation energy: 933 meV per atom

abc: 6.8341 6.8341 4.5860
angles: 90.00 90.00 90.00
Element x y z (fractional)
Rb1 0.0000 0.5000 0.0000
Rb2 0.5000 0.0000 0.0000
Be1 0.0000 0.0000 0.5000
Co1 0.5000 0.5000 0.5000
Hg1 0.0000 0.0000 0.0000

=====

Energy readings, ordered: -28.76; -98.03; -69.58; -22.83; -44.23; -15.84; -46.59; -8.40 eV for the cell shown